Entry 1:
## NaMnN2O (PBE+U)

Data for NaMnN2O after structural relaxation.

Calculated total energy   -22.35 eV per cell

Cell and atoms, written as POSCAR:
```
NaMnN2O
1.0
4.186 0.000 0.000
0.000 4.186 0.000
0.000 0.000 4.064
Na Mn N O
1 1 2 1
Cartesian
0.000 0.000 0.000 Na
2.093 2.093 2.032 Mn
0.000 2.093 0.000 N
2.093 0.000 0.000 N
0.000 0.000 2.032 O
```

---

Entry 2:
## NaMnNO2 (PBE+U)

Data for NaMnNO2 after structural relaxation.

Calculated total energy   -19.24 eV per cell

Cell and atoms, written as POSCAR:
```
NaMnNO2
1.0
4.112 0.000 0.000
0.000 4.112 0.000
0.000 0.000 4.134
Na Mn N O
1 1 1 2
Cartesian
0.000 0.000 0.000 Na
2.056 2.056 2.067 Mn
0.000 0.000 2.067 N
0.000 2.056 0.000 O
2.056 0.000 0.000 O
```

---

Entry 3:
## NaMnN2O (PBE+U)

Data for NaMnN2O after structural relaxation.

Calculated total energy   -28.49 eV per cell

Cell and atoms, written as POSCAR:
```
NaMnN2O
1.0
3.860 0.000 0.000
0.000 3.860 0.000
0.000 0.000 3.918
Na Mn N O
1 1 2 1
Cartesian
0.000 0.000 0.000 Na
1.930 1.930 1.959 Mn
0.000 1.930 1.959 N
1.930 0.000 1.959 N
1.930 1.930 0.000 O
```

---

Entry 4:
## NaMnNO2 (PBE+U)

Data for NaMnNO2 after structural relaxation.

Calculated total energy   -28.90 eV per cell

Cell and atoms, written as POSCAR:
```
NaMnNO2
1.0
3.868 0.000 0.000
0.000 3.868 0.000
0.000 0.000 3.832
Na Mn N O
1 1 1 2
Cartesian
0.000 0.000 0.000 Na
1.934 1.934 1.916 Mn
1.934 1.934 0.000 N
0.000 1.934 1.916 O
1.934 0.000 1.916 O
```